Below is a relaxed structure of Cs2LiCoF6, with properties calculated at the GGA+U level.

Geometry as extended XYZ:
```
20
Lattice="6.368 0.000 0.000 0.000 6.820 0.000 0.000 0.000 7.919" Properties=species:S:1:pos:R:3 pbc="T T T"
Cs 3.184 5.326 2.068
Cs 0.000 1.494 6.027
Cs 3.184 5.326 5.851
Cs 0.000 1.494 1.892
Li 0.000 4.237 3.960
Li 3.184 2.583 0.000
Co 3.184 1.940 3.960
Co 0.000 4.880 0.000
F 3.184 1.996 2.039
F 3.184 1.996 5.880
F 0.000 4.824 1.920
F 0.000 4.824 5.999
F 1.847 0.536 3.960
F 4.521 0.536 3.960
F 1.704 3.320 3.960
F 4.663 3.320 3.960
F 4.888 3.500 0.000
F 1.480 3.500 0.000
F 1.337 6.284 0.000
F 5.030 6.284 0.000
```

Computed properties:
Magnetization   0.407 μB per atom
Energy   -90.34 eV per cell
SG   Pmmn, No. 59